DFT (PBE+U) results for a geometry-optimized CsPaCrO6 structure.

abc: 7.9483 7.1375 7.5935
angles: 118.03 121.56 90.00
With the nearest neighbours (Å) after each atom.
Fractional coordinates of all 18 atoms:
1 Cs 0.8671 0.6171 0.7342  8 O 3.26-3.59
2 Cs 0.1329 0.3829 0.2658  8 O 3.26-3.59
3 Pa 0.5000 0.0000 0.5000  6 O 2.17
4 Pa 0.0000 0.0000 0.5000  6 O 2.17
5 Cr 0.5000 0.5000 0.0000  6 O 1.83-1.84
6 Cr 0.5000 0.0000 0.0000  6 O 1.83-1.84
7 O 0.4607 0.7107 0.9214  2 Cr 1.83
8 O 0.8311 0.0811 0.6622  2 Pa 2.17
9 O 0.7814 0.0742 0.2335  1 Cr 1.84
10 O 0.4521 0.6593 0.2335  1 Cr 1.84
11 O 0.4521 0.0742 0.2335  1 Cr 1.84
12 O 0.7814 0.6593 0.2335  1 Cr 1.84
13 O 0.5393 0.2893 0.0786  2 Cr 1.83
14 O 0.1689 0.9189 0.3378  2 Pa 2.17
15 O 0.2186 0.9258 0.7665  1 Cr 1.84
16 O 0.5479 0.3407 0.7665  1 Cr 1.84
17 O 0.5479 0.9258 0.7665  1 Cr 1.84
18 O 0.2186 0.3407 0.7665  1 Cr 1.84

For the total energy, the calculation gives -7.3726 eV per atom.